Record 1
# Ce3Sc2Si3

A geometry-optimized Ce3Sc2Si3 structure (PBE, Alexandria via LeMat-Bulk).

Results
E_form (uncorrected) (eV/atom): -0.549
E (eV/atom): -6.39

a = 8.4203 Å, b = 8.4203 Å, c = 5.9557 Å
α = 90.00°, β = 90.00°, γ = 120.00°
Sites, in units of the cell vectors:
Ce 0.0000 0.2495 0.2500
Ce 0.0000 0.7505 0.7500
Ce 0.2495 0.0000 0.2500
Ce 0.2495 0.2495 0.7500
Ce 0.7505 0.0000 0.7500
Ce 0.7505 0.7505 0.2500
Sc 0.3333 0.6667 0.0000
Sc 0.3333 0.6667 0.5000
Sc 0.6667 0.3333 0.0000
Sc 0.6667 0.3333 0.5000
Si 0.0000 0.3998 0.7500
Si 0.0000 0.6002 0.2500
Si 0.3998 0.0000 0.7500
Si 0.3998 0.3998 0.2500
Si 0.6002 0.0000 0.2500
Si 0.6002 0.6002 0.7500

***

Record 2
# CeScSi3

A geometry-optimized CeScSi3 structure (PBE, Alexandria via LeMat-Bulk).

Results
E_form (uncorrected) (eV/atom): -0.710
E (eV/atom): -6.42

a = 12.1870 Å, b = 12.1870 Å, c = 3.8879 Å
α = 90.00°, β = 90.00°, γ = 160.62°
Sites, in units of the cell vectors:
Ce 0.0735 0.9265 0.7500
Ce 0.9265 0.0735 0.2500
Sc 0.2035 0.7965 0.2500
Sc 0.7965 0.2035 0.7500
Si 0.3172 0.6828 0.2500
Si 0.3766 0.6234 0.7500
Si 0.4739 0.5261 0.7500
Si 0.5261 0.4739 0.2500
Si 0.6234 0.3766 0.2500
Si 0.6828 0.3172 0.7500

***

Record 3
# Ce2ScSi

A geometry-optimized Ce2ScSi structure (PBE, Alexandria via LeMat-Bulk).

Results
E_form (uncorrected) (eV/atom): 0.047
Energy above the most stable polymorph in this dataset (eV/f.u.): 1.648
E (eV/atom): -5.86

a = 3.1060 Å, b = 3.1060 Å, c = 33.0633 Å
α = 90.00°, β = 90.00°, γ = 120.00°
Sites, in units of the cell vectors:
Ce 0.0000 0.0000 0.0918
Ce 0.0000 0.0000 0.9082
Ce 0.3333 0.6667 0.5749
Ce 0.3333 0.6667 0.7585
Ce 0.6667 0.3333 0.2415
Ce 0.6667 0.3333 0.4251
Sc 0.0000 0.0000 0.0000
Sc 0.3333 0.6667 0.6667
Sc 0.6667 0.3333 0.3333
Si 0.0000 0.0000 0.5000
Si 0.3333 0.6667 0.1667
Si 0.6667 0.3333 0.8333

***

Record 4
# CeSc4Si4

A geometry-optimized CeSc4Si4 structure (PBE, Alexandria via LeMat-Bulk).

Results
E_form (uncorrected) (eV/atom): -0.505
E (eV/atom): -6.39

a = 8.8547 Å, b = 8.8547 Å, c = 5.3274 Å
α = 90.00°, β = 90.00°, γ = 90.00°
Sites, in units of the cell vectors:
Ce 0.2500 0.2500 0.2500
Ce 0.7500 0.7500 0.7500
Sc 0.1137 0.6321 0.1308
Sc 0.1321 0.8863 0.6308
Sc 0.3679 0.6137 0.6308
Sc 0.3863 0.8679 0.1308
Sc 0.6137 0.1321 0.8692
Sc 0.6321 0.3863 0.3692
Sc 0.8679 0.1137 0.3692
Sc 0.8863 0.3679 0.8692
Si 0.0640 0.5796 0.6431
Si 0.0796 0.9360 0.1431
Si 0.4204 0.5640 0.1431
Si 0.4360 0.9204 0.6431
Si 0.5640 0.0796 0.3569
Si 0.5796 0.4360 0.8569
Si 0.9204 0.0640 0.8569
Si 0.9360 0.4204 0.3569

***

Record 5
# Ce2Sc3Si4

A geometry-optimized Ce2Sc3Si4 structure (PBE, Alexandria via LeMat-Bulk).

Results
E_form (uncorrected) (eV/atom): -0.771
E (eV/atom): -6.61

a = 7.1778 Å, b = 14.1211 Å, c = 7.4457 Å
α = 90.00°, β = 90.00°, γ = 90.00°
Sites, in units of the cell vectors:
Ce 0.0103 0.0964 0.1721
Ce 0.0103 0.4036 0.1721
Ce 0.4897 0.5964 0.6721
Ce 0.4897 0.9036 0.6721
Ce 0.5103 0.0964 0.3279
Ce 0.5103 0.4036 0.3279
Ce 0.9897 0.5964 0.8279
Ce 0.9897 0.9036 0.8279
Sc 0.1640 0.7500 0.5061
Sc 0.1690 0.1243 0.6764
Sc 0.1690 0.3757 0.6764
Sc 0.3310 0.6243 0.1764
Sc 0.3310 0.8757 0.1764
Sc 0.3360 0.2500 0.0061
Sc 0.6640 0.7500 0.9939
Sc 0.6690 0.1243 0.8236
Sc 0.6690 0.3757 0.8236
Sc 0.8310 0.6243 0.3236
Sc 0.8310 0.8757 0.3236
Sc 0.8360 0.2500 0.4939
Si 0.0363 0.7500 0.1195
Si 0.1559 0.5391 0.4648
Si 0.1559 0.9609 0.4648
Si 0.2112 0.2500 0.3772
Si 0.2888 0.7500 0.8772
Si 0.3441 0.0391 0.9648
Si 0.3441 0.4609 0.9648
Si 0.4637 0.2500 0.6195
Si 0.5363 0.7500 0.3805
Si 0.6559 0.5391 0.0352
Si 0.6559 0.9609 0.0352
Si 0.7112 0.2500 0.1228
Si 0.7888 0.7500 0.6228
Si 0.8441 0.0391 0.5352
Si 0.8441 0.4609 0.5352
Si 0.9637 0.2500 0.8805

***

Record 6
# Ce2ScSi2

A geometry-optimized Ce2ScSi2 structure (PBE, Alexandria via LeMat-Bulk).

Results
E_form (uncorrected) (eV/atom): -0.646
E (eV/atom): -6.46

a = 7.2810 Å, b = 7.2810 Å, c = 4.3497 Å
α = 90.00°, β = 90.00°, γ = 90.00°
Sites, in units of the cell vectors:
Ce 0.1782 0.3218 0.0000
Ce 0.3218 0.8218 0.0000
Ce 0.6782 0.1782 0.0000
Ce 0.8218 0.6782 0.0000
Sc 0.0000 0.0000 0.5000
Sc 0.5000 0.5000 0.5000
Si 0.1197 0.6197 0.5000
Si 0.3803 0.1197 0.5000
Si 0.6197 0.8803 0.5000
Si 0.8803 0.3803 0.5000